(1)
YTmAlIr | PBE | relaxed

For the formation energy, the calculation gives -0.593 eV per atom. As for the density of states at the Fermi level: 11.85 states/eV per cell.

The space group is F-43m (No. 216) and the conventional cell measures 6.9893, 6.9893 and 6.9893 Å, with angles of 90.00, 90.00 and 90.00 degrees. The asymmetric unit holds Y at (0.0000, 0.0000, 0.0000), Tm at (0.0000, 0.0000, 0.5000), Al at (0.2500, 0.2500, 0.2500) and Ir at (0.2500, 0.2500, 0.7500).



(2)
NdGe3Os3 | PBE | relaxed

For the formation energy, the calculation gives 0.394 eV per atom. As for the density of states at the Fermi level: 5.57 states/eV per cell.

The space group is Pm-3n (No. 223) and the conventional cell measures 6.7428, 6.7428 and 6.7428 Å, with angles of 90.00, 90.00 and 90.00 degrees. The asymmetric unit holds Nd at (0.0000, 0.0000, 0.0000), Ge at (0.0000, 0.2500, 0.5000) and Os at (0.0000, 0.5000, 0.2500).



(3)
ErTh2In | PBE | relaxed

For the formation energy, the calculation gives -0.020 eV per atom. As for the density of states at the Fermi level: 17.63 states/eV per cell. For the energy above the most stable polymorph in this dataset, the calculation gives 167 meV/atom.

The space group is R3m (No. 160, hexagonal axes) and the conventional cell measures 3.5081, 3.5081 and 34.5313 Å, with angles of 90.00, 90.00 and 120.00 degrees. The asymmetric unit holds Er at (0.0000, 0.0000, 0.0000), Th at (0.0000, 0.0000, 0.4196), Th at (0.0000, 0.0000, 0.5814) and In at (0.0000, 0.0000, 0.8342).



(4)
Tm5Si5Ge2 | PBE | relaxed

The value obtained for the uncorrected formation energy is -0.57 eV/atom. As for the density of states at the Fermi level: 12.17 states/eV per cell.

The space group is C2/m (No. 12) and the conventional cell measures 14.2424, 4.0567 and 10.8792 Å, with angles of 90.00, 129.06 and 90.00 degrees. The asymmetric unit holds Tm at (0.0000, 0.0000, 0.0000), Tm at (0.1107, 0.0000, 0.4299), Tm at (0.2087, 0.0000, 0.8429), Si at (0.0000, 0.5000, 0.5000), Si at (0.0629, 0.5000, 0.8335), Si at (0.2344, 0.5000, 0.6794) and Ge at (0.1414, 0.5000, 0.2562).



(5)
Dy5Er6Th | PBE | relaxed

For the formation energy, the calculation gives 0.117 eV per atom. As for the density of states at the Fermi level: 42.26 states/eV per cell.

The space group is Immm (No. 71) and the conventional cell measures 5.7503, 7.4178 and 17.6615 Å, with angles of 90.00, 90.00 and 90.00 degrees. The asymmetric unit holds Dy at (0.0000, 0.0000, 0.0000), Dy at (0.0000, 0.0000, 0.3454), Dy at (0.0000, 0.5000, 0.3454), Er at (0.0000, 0.2484, 0.5000), Er at (0.0000, 0.2519, 0.1791) and Th at (0.0000, 0.5000, 0.0000).



(6)
In2TeIr | PBE | relaxed

The value obtained for the uncorrected formation energy is 0.02 eV/atom. As for the density of states at the Fermi level: 4.18 states/eV per cell.

The space group is Imm2 (No. 44) and the conventional cell measures 3.2817, 4.4954 and 13.0805 Å, with angles of 90.00, 90.00 and 90.00 degrees. The asymmetric unit holds In at (0.0000, 0.0000, 0.0000), In at (0.0000, 0.5000, 0.1756), Te at (0.0000, 0.0000, 0.3567) and Ir at (0.0000, 0.5000, 0.6875).



(7)
Ba2Ga7Ag12 | PBE | relaxed

For the formation energy, the calculation gives -0.124 eV per atom. As for the density of states at the Fermi level: 7.73 states/eV per cell.

The space group is P-3 (No. 147) and the conventional cell measures 10.8144, 10.8144 and 4.3360 Å, with angles of 90.00, 90.00 and 120.00 degrees. The asymmetric unit holds Ba at (0.3333, 0.6667, 0.2443), Ga at (0.0000, 0.0000, 0.5000), Ga at (0.1104, 0.7092, 0.7408), Ag at (0.0545, 0.4313, 0.7532) and Ag at (0.1214, 0.2554, 0.2291).



(8)
Na3SiBSbO7 | PBE | relaxed

The value obtained for the uncorrected formation energy is -2.04 eV/atom. As for the density of states at the Fermi level: 6.00 states/eV per cell.

The space group is P2_1/m (No. 11) and the conventional cell measures 5.3739, 6.8298 and 9.2028 Å, with angles of 90.00, 90.01 and 90.00 degrees. The asymmetric unit holds Na at (0.2355, 0.2500, 0.4263), Na at (0.2571, 0.5104, 0.7498), Si at (0.2837, 0.2500, 0.0819), B at (0.2765, 0.7500, 0.4375), Sb at (0.2154, 0.7500, 0.1566), O at (0.0433, 0.7500, 0.3645), O at (0.1557, 0.2500, 0.9188), O at (0.1941, 0.0617, 0.1823), O at (0.3039, 0.7500, 0.5820), O at (0.4105, 0.7500, 0.9372) and O at (0.4788, 0.7500, 0.3386).



(9)
CuSi2Ni | PBE | relaxed

The value obtained for the uncorrected formation energy is 0.04 eV/atom. As for the density of states at the Fermi level: 2.09 states/eV per cell.

The space group is P4mm (No. 99) and the conventional cell measures 2.6241, 2.6241 and 7.2623 Å, with angles of 90.00, 90.00 and 90.00 degrees. The asymmetric unit holds Cu at (0.0000, 0.0000, 0.0000), Si at (0.0000, 0.0000, 0.4534), Si at (0.5000, 0.5000, 0.7568) and Ni at (0.5000, 0.5000, 0.2522).



(10)
LaHfHg2Te | PBE | relaxed

The value obtained for the uncorrected formation energy is 0.75 eV/atom. As for the density of states at the Fermi level: 5.46 states/eV per cell.

The space group is P4/mmm (No. 123) and the conventional cell measures 5.4483, 5.4483 and 5.9799 Å, with angles of 90.00, 90.00 and 90.00 degrees. The asymmetric unit holds La at (0.0000, 0.0000, 0.0000), Hf at (0.5000, 0.5000, 0.0000), Hg at (0.0000, 0.5000, 0.5000) and Te at (0.0000, 0.0000, 0.5000).



(11)
Cs3Na3HgCl8 | PBE | relaxed

The value obtained for the uncorrected formation energy is -1.60 eV/atom. As for the density of states at the Fermi level: 0.00 states/eV per cell.

The space group is R-3m (No. 166, hexagonal axes) and the conventional cell measures 8.5613, 8.5613 and 23.5537 Å, with angles of 90.00, 90.00 and 120.00 degrees. The asymmetric unit holds Cs at (0.0000, 0.5000, 0.0000), Na at (0.0000, 0.5000, 0.5000), Hg at (0.0000, 0.0000, 0.5000), Cl at (0.0000, 0.0000, 0.2321) and Cl at (0.0177, 0.5088, 0.2290).



(12)
NbGaCuIr | PBE | relaxed

For the formation energy, the calculation gives -0.329 eV per atom. As for the density of states at the Fermi level: 2.03 states/eV per cell.

The space group is F-43m (No. 216) and the conventional cell measures 6.2181, 6.2181 and 6.2181 Å, with angles of 90.00, 90.00 and 90.00 degrees. The asymmetric unit holds Nb at (0.0000, 0.0000, 0.0000), Ga at (0.0000, 0.0000, 0.5000), Cu at (0.2500, 0.2500, 0.7500) and Ir at (0.2500, 0.2500, 0.2500).



(13)
BaTl6Pb6 | PBE | relaxed

For the formation energy, the calculation gives -0.074 eV per atom. As for the density of states at the Fermi level: 16.50 states/eV per cell.

The space group is Immm (No. 71) and the conventional cell measures 6.7226, 11.3303 and 11.4597 Å, with angles of 90.00, 90.00 and 90.00 degrees. The asymmetric unit holds Ba at (0.0000, 0.0000, 0.0000), Tl at (0.0000, 0.0000, 0.3494), Tl at (0.0000, 0.3551, 0.0000), Tl at (0.0000, 0.5000, 0.3016), Pb at (0.0000, 0.2720, 0.5000) and Pb at (0.2500, 0.2500, 0.2500).



(14)
Si2Hg2Sb | PBE | relaxed

The value obtained for the uncorrected formation energy is 0.44 eV/atom. As for the density of states at the Fermi level: 4.46 states/eV per cell. For the energy above the most stable polymorph in this dataset, the calculation gives 85 meV/atom.

The space group is P4/mbm (No. 127) and the conventional cell measures 7.1816, 7.1816 and 4.4253 Å, with angles of 90.00, 90.00 and 90.00 degrees. The asymmetric unit holds Si at (0.1191, 0.3809, 0.0000), Hg at (0.1821, 0.6821, 0.5000) and Sb at (0.0000, 0.0000, 0.0000).



(15)
ErZnIn | PBE | relaxed

For the formation energy, the calculation gives -0.411 eV per atom. As for the density of states at the Fermi level: 2.89 states/eV per cell.

The space group is P6_3/mmc (No. 194) and the conventional cell measures 4.6611, 4.6611 and 7.1291 Å, with angles of 90.00, 90.00 and 120.00 degrees. The asymmetric unit holds Er at (0.0000, 0.0000, 0.0000), Zn at (0.3333, 0.6667, 0.2500) and In at (0.3333, 0.6667, 0.7500).



(16)
Sr2YTc | PBE | relaxed

For the formation energy, the calculation gives 0.451 eV per atom. As for the density of states at the Fermi level: 9.18 states/eV per cell. For the energy above the most stable polymorph in this dataset, the calculation gives 133 meV/atom.

The space group is Imm2 (No. 44) and the conventional cell measures 3.6536, 6.0757 and 12.0817 Å, with angles of 90.00, 90.00 and 90.00 degrees. The asymmetric unit holds Sr at (0.0000, 0.0000, 0.0000), Sr at (0.0000, 0.5000, 0.1896), Y at (0.0000, 0.0000, 0.3736) and Tc at (0.0000, 0.5000, 0.7110).



(17)
Nd3Tm3In5 | PBE | relaxed

For the formation energy, the calculation gives 0.203 eV per atom. As for the density of states at the Fermi level: 10.03 states/eV per cell.

The space group is P-62m (No. 189) and the conventional cell measures 9.0518, 9.0518 and 5.7068 Å, with angles of 90.00, 90.00 and 120.00 degrees. The asymmetric unit holds Nd at (0.0000, 0.5309, 0.0000), Tm at (0.0000, 0.2801, 0.5000), In at (0.0000, 0.6476, 0.5000) and In at (0.3333, 0.6667, 0.5000).



(18)
Ba3Li2Sn9 | PBE | relaxed

For the formation energy, the calculation gives -0.443 eV per atom. As for the density of states at the Fermi level: 8.36 states/eV per cell.

The space group is Immm (No. 71) and the conventional cell measures 4.8899, 11.9823 and 14.4165 Å, with angles of 90.00, 90.00 and 90.00 degrees. The asymmetric unit holds Ba at (0.0000, 0.0000, 0.0000), Ba at (0.0000, 0.0000, 0.2973), Li at (0.0000, 0.1705, 0.5000), Sn at (0.0000, 0.2935, 0.1433), Sn at (0.0000, 0.3522, 0.3570) and Sn at (0.0000, 0.5000, 0.0000).



(19)
HfZnGa6 | PBE | relaxed

For the formation energy, the calculation gives -0.131 eV per atom. As for the density of states at the Fermi level: 3.18 states/eV per cell.

The space group is P4/mmm (No. 123) and the conventional cell measures 5.9646, 5.9646 and 3.9187 Å, with angles of 90.00, 90.00 and 90.00 degrees. The asymmetric unit holds Hf at (0.0000, 0.0000, 0.0000), Zn at (0.5000, 0.5000, 0.0000), Ga at (0.0000, 0.5000, 0.0000) and Ga at (0.2587, 0.2587, 0.5000).



(20)
Cd2Ag2Pd | PBE | relaxed

For the formation energy, the calculation gives 0.049 eV per atom. As for the density of states at the Fermi level: 3.40 states/eV per cell. For the energy above the most stable polymorph in this dataset, the calculation gives 203 meV/atom.

The space group is P4/mbm (No. 127) and the conventional cell measures 7.6782, 7.6782 and 3.2898 Å, with angles of 90.00, 90.00 and 90.00 degrees. The asymmetric unit holds Cd at (0.1492, 0.3508, 0.0000), Ag at (0.1505, 0.6505, 0.5000) and Pd at (0.0000, 0.0000, 0.0000).



(21)
Li2TiHg2 | PBE | relaxed

For the formation energy, the calculation gives -0.031 eV per atom. As for the density of states at the Fermi level: 6.89 states/eV per cell. For the energy above the most stable polymorph in this dataset, the calculation gives 57 meV/atom.

The space group is P4/mbm (No. 127) and the conventional cell measures 7.7211, 7.7211 and 3.1417 Å, with angles of 90.00, 90.00 and 90.00 degrees. The asymmetric unit holds Li at (0.1507, 0.3493, 0.0000), Ti at (0.0000, 0.0000, 0.5000) and Hg at (0.1499, 0.6499, 0.5000).



(22)
BaNaSmO3 | PBE | relaxed

The value obtained for the uncorrected formation energy is -2.55 eV/atom. As for the density of states at the Fermi level: 0.00 states/eV per cell.

The space group is P2_1/m (No. 11) and the conventional cell measures 6.6484, 3.7210 and 9.4288 Å, with angles of 90.00, 102.69 and 90.00 degrees. The asymmetric unit holds Ba at (0.1354, 0.2500, 0.1892), Na at (0.1784, 0.7500, 0.5507), Sm at (0.3735, 0.2500, 0.8383), O at (0.0475, 0.2500, 0.6821), O at (0.2804, 0.7500, 0.9968) and O at (0.4725, 0.7500, 0.7275).